Here is TcSb2P after structural relaxation from Alexandria via LeMat-Bulk. Energies are from PBE.

The uncorrected formation energy is 571.7 meV per atom. As for the magnetization: 1.10 μB/cell. The calculation puts the density of states at the Fermi level at 6.08 states/eV per cell. For the uncorrected energy, the calculation gives -5.433 eV/atom.

Cell: 4.0180 4.7620 8.1311 Å, 90.00 90.00 90.00°
Space group Immm (No. 71)
One atom of each set of equivalent atoms:
Tc1 0.0000 0.0000 0.0000
Sb1 0.0000 0.5000 0.2282
P1 0.0000 0.0000 0.5000